[1]
A plane-wave DFT calculation with PBE was carried out for crystalline TaBe4Pb at its relaxed geometry.

symmetry	F-43m
formation enthalpy at 0 K	0.459	eV per atom
VASP energy	-4.62	eV/atom

POSCAR file:
```
TaBe4Pb
1.0
0.000 3.383 3.383
3.383 0.000 3.383
3.383 3.383 0.000
Ta Be Pb
1 4 1
Cartesian
0.000 0.000 0.000
2.486 4.280 4.280
4.280 4.280 2.486
4.280 2.486 4.280
2.486 2.486 2.486
5.075 5.075 5.075
```

---

[2]
A plane-wave DFT calculation with PBE was carried out for crystalline Na3PaTi2Te6 at its relaxed geometry.

symmetry	C2/m
raw formation energy	-9.98	eV per formula unit
VASP energy	-4.84	eV/atom

POSCAR file:
```
Na3PaTi2Te6
1.0
-7.152 0.285 -0.645
3.662 -5.417 -2.983
0.415 -2.372 7.708
Na Pa Ti Te
3 1 2 6
Cartesian
2.183 -5.713 1.236
-5.257 -1.791 2.844
-1.537 -3.752 2.040
0.000 0.000 0.000
0.194 -3.588 -2.233
-3.684 -1.544 -1.395
-4.165 -4.671 3.661
-2.409 -4.173 -0.966
1.091 -2.833 0.419
-0.400 -6.656 2.847
-0.665 -3.331 5.046
-2.674 -0.848 1.233
```

---

[3]
A plane-wave DFT calculation with PBE was carried out for crystalline GdTmTc4 at its relaxed geometry.

symmetry	F-43m
formation enthalpy at 0 K	-0.137	eV per atom
VASP energy	-10.14	eV/atom

POSCAR file:
```
GdTmTc4
1.0
-3.149 4.199 -1.266
-5.025 -0.837 -1.788
-4.221 1.248 3.126
Gd Tm Tc
1 1 4
Cartesian
-3.099 1.152 0.018
0.000 0.000 0.000
-5.636 2.257 -1.519
-5.233 3.300 0.940
-7.748 2.882 0.045
-6.172 0.781 0.679
```

---

Look up the VASP energy of the second one. -4.84 eV/atom

---

What is the VASP energy in the first record? -4.62 eV/atom

---

What is the formula in the first record? TaBe4Pb